Here is a relaxed Zr2Be2Co crystal from Alexandria. Energies are from PBE-GGA.

Results
N(E_F) in states/eV/f.u.: 3.968
Symmetry: C2/m
Magnetic moment in μB per formula unit: 0.0
DFT formation energy in meV/atom: -238.8
Energy above the lowest structure with this stoichiometry in meV/atom: 0
Uncorrected energy in eV per atom: -6.570

abc: 5.019 5.019 9.346
angles: 117.17 117.17 45.13
Fractional coordinates of all 10 atoms:
Zr 0.088 0.088 0.395
Zr 0.323 0.323 0.821
Zr 0.677 0.677 0.179
Zr 0.912 0.912 0.605
Be 0.079 0.079 0.936
Be 0.385 0.385 0.383
Be 0.615 0.615 0.617
Be 0.921 0.921 0.064
Co 0.349 0.349 0.123
Co 0.651 0.651 0.877